one.
# VF, relaxed, DFT PBE+U
data_VF
_chemical_formula_sum 'V8 F8'
_symmetry_space_group_name_H-M 'I -4 3 m'
_symmetry_Int_Tables_number 217
_symmetry_space_group_name_Hall 'I -4 2 3'
_cell_length_a 6.898
_cell_length_b 6.898
_cell_length_c 6.898
_cell_angle_alpha 90.00
_cell_angle_beta 90.00
_cell_angle_gamma 90.00
loop_
_atom_site_label
_atom_site_fract_x
_atom_site_fract_y
_atom_site_fract_z
V1 0.120 0.120 0.880
F1 0.204 0.204 0.204
# **Theoretical density**: 2.831 g cm⁻³
# **Crystal system**: cubic
# **Magnetization**: 6.9 Bohr magnetons per cell



two.
# VF, relaxed, DFT PBE+U
data_VF
_chemical_formula_sum 'V4 F4'
_symmetry_space_group_name_H-M 'P 42/m n m'
_symmetry_Int_Tables_number 136
_symmetry_space_group_name_Hall '-P 4n 2n'
_cell_length_a 7.001
_cell_length_b 7.001
_cell_length_c 3.120
_cell_angle_alpha 90.00
_cell_angle_beta 90.00
_cell_angle_gamma 90.00
loop_
_atom_site_label
_atom_site_fract_x
_atom_site_fract_y
_atom_site_fract_z
V1 0.140 0.140 0.000
F1 0.214 0.786 0.000
# **Theoretical density**: 3.037 g cm⁻³
# **Crystal system**: tetragonal
# **Magnetization**: 13.8 Bohr magnetons per cell



Going by the computed energies, the most stable comes first: two, one.